[1]
Computed, not measured: crystalline Mg4HgRu at its relaxed geometry at the PBE level of DFT.

DFT total energy   -13.88 eV/cell
Calculated volume   115.8 Å³ per cell
Symmetry   F-43m, No. 216
Energy relative to the elements   0.345 eV per atom

Structure (POSCAR):
```
Mg4HgRu
1.0
-2.7114 -3.1704 3.5394
-4.3802 1.9594 2.6278
-4.9947 -1.8475 -1.2530
Mg Ru Hg
4 1 1
Direct
0.8734 0.3755 0.3755
0.3755 0.3755 0.8734
0.3755 0.3755 0.3755
0.3755 0.8734 0.3755
0.7500 0.7500 0.7500
0.0000 0.0000 0.0000
```

=====

[2]
Computed, not measured: crystalline Pr8In2Au at its relaxed geometry at the PBE level of DFT.

DFT total energy   -50.26 eV/cell
Calculated volume   356.6 Å³ per cell
Symmetry   C2/m, No. 12
Energy relative to the elements   -0.297 eV per atom

Structure (POSCAR):
```
Pr8In2Au
1.0
5.3258 0.0000 0.0000
0.0000 7.0356 0.1773
-2.6629 -2.7605 9.4485
Pr In Au
8 2 1
Direct
0.9850 0.2266 0.9701
0.2096 0.3044 0.4192
0.3466 0.0203 0.6931
0.7904 0.6956 0.5808
0.0150 0.7734 0.0299
0.4074 0.5357 0.8148
0.5926 0.4643 0.1852
0.6534 0.9797 0.3069
0.8184 0.2558 0.6368
0.1816 0.7442 0.3632
0.5000 0.0000 0.0000
```

=====

[3]
Computed, not measured: crystalline KSr12Ca5 at its relaxed geometry at the PBE level of DFT.

DFT total energy   -30.69 eV/cell
Calculated volume   926.9 Å³ per cell
Symmetry   Cmmm, No. 65
Energy relative to the elements   0.033 eV per atom

Structure (POSCAR):
```
KSr12Ca5
1.0
-2.7210 7.3411 -5.1734
3.4042 -8.7262 -0.5690
-16.3195 -6.3406 -0.4161
Ca Sr K
5 12 1
Direct
0.5000 0.5000 0.5000
0.1668 0.8332 0.5000
0.8332 0.1668 0.5000
0.6735 0.3265 0.0000
0.3265 0.6735 0.0000
0.3333 0.6663 0.6577
0.6663 0.3333 0.6577
0.6667 0.3337 0.3423
0.8313 0.1691 0.1672
0.9998 0.9998 0.6577
0.5002 0.5002 0.1695
0.0002 0.0002 0.3423
0.4998 0.4998 0.8305
0.8309 0.1687 0.8328
0.1687 0.8309 0.8328
0.1691 0.8313 0.1672
0.3337 0.6667 0.3423
0.0000 0.0000 0.0000
```

=====

[4]
Computed, not measured: crystalline Li6ZnAg at its relaxed geometry at the PBE level of DFT.

DFT total energy   -16.52 eV/cell
Calculated volume   134.8 Å³ per cell
Symmetry   Amm2, No. 38
Energy relative to the elements   -0.115 eV per atom

Structure (POSCAR):
```
Li6ZnAg
1.0
4.7323 0.0000 0.0000
0.0000 5.7235 -0.1713
0.0000 -2.6876 5.0561
Li Zn Ag
6 1 1
Direct
0.0000 0.0951 0.4217
0.0000 0.5783 0.9049
0.5000 0.9211 0.5943
0.5000 0.4057 0.0789
0.5000 0.9205 0.0795
0.0000 0.5789 0.4211
0.5000 0.4164 0.5836
0.0000 0.0837 0.9163
```

=====

[5]
Computed, not measured: crystalline YCu2W at its relaxed geometry at the PBE level of DFT.

DFT total energy   -25.22 eV/cell
Calculated volume   68.7 Å³ per cell
Symmetry   R-3m, No. 166
Energy relative to the elements   0.598 eV per atom

Structure (POSCAR):
```
YCu2W
1.0
9.3775 -0.0327 -0.0192
8.9293 2.8645 -0.0192
8.9293 1.3813 2.5096
W Cu Y
1 2 1
Direct
0.2500 0.2500 0.2500
0.5076 0.5076 0.5076
0.9924 0.9924 0.9924
0.7500 0.7500 0.7500
```

=====

[6]
Computed, not measured: crystalline DyTm2In2Ag2 at its relaxed geometry at the PBE level of DFT.

DFT total energy   -26.55 eV/cell
Calculated volume   177.3 Å³ per cell
Symmetry   R-3m, No. 166
Energy relative to the elements   -0.261 eV per atom

Structure (POSCAR):
```
DyTm2In2Ag2
1.0
-3.6872 3.0374 0.7066
-4.2644 -0.8491 -2.1010
-5.1637 -3.9477 6.5265
Ag Dy In Tm
2 1 2 2
Direct
0.6009 0.6009 0.1974
0.3991 0.3991 0.8026
0.0000 0.0000 0.0000
0.2586 0.2586 0.2242
0.7414 0.7414 0.7758
0.1267 0.1267 0.6198
0.8733 0.8733 0.3802
```

=====

[7]
Computed, not measured: crystalline Th2Bi2N at its relaxed geometry at the PBE level of DFT.

Raw formation energy   -0.84 eV/atom
DFT total energy   -70.27 eV/cell
Calculated volume   287.1 Å³ per cell
Symmetry   Cmc2_1, No. 36

Structure (POSCAR):
```
Th2Bi2N
1.0
4.2234 0.0000 0.0000
0.0000 8.3123 0.0000
-2.1117 0.0000 8.1774
Bi Th N
4 4 2
Direct
0.2143 0.9141 0.4286
0.0824 0.1858 0.1649
0.7857 0.4141 0.5714
0.9176 0.6858 0.8351
0.1358 0.5598 0.2716
0.4641 0.3876 0.9282
0.5359 0.8876 0.0718
0.8642 0.0598 0.7284
0.5773 0.5870 0.1546
0.4227 0.0870 0.8454
```

=====

[8]
Computed, not measured: crystalline CaCuHS2 at its relaxed geometry at the PBE level of DFT.

DFT total energy   -19.35 eV/cell
Calculated volume   75.3 Å³ per cell
Symmetry   P4/mmm, No. 123

Structure (POSCAR):
```
CaCuHS2
1.0
-1.2268 -0.5519 4.4506
-2.1771 -2.5614 -0.9177
3.4168 -3.1037 0.5570
S Ca H Cu
2 1 1 1
Direct
0.0000 0.0000 0.5000
0.5000 0.0000 0.0000
0.5000 0.5000 0.5000
0.0000 0.0000 0.0000
0.0000 0.5000 0.0000
```

=====

[9]
Computed, not measured: crystalline Cs2K3Rb6 at its relaxed geometry at the PBE level of DFT.

DFT total energy   -10.43 eV/cell
Calculated volume   1051.3 Å³ per cell
Symmetry   C2/m, No. 12
Energy relative to the elements   0.034 eV per atom

Structure (POSCAR):
```
Cs2K3Rb6
1.0
8.1439 0.0000 2.4653
4.0720 7.4666 1.2326
-1.7050 0.0000 16.7725
Cs Rb K
2 6 3
Direct
0.1653 0.6693 0.5000
0.8347 0.3307 0.5000
0.2573 0.0000 0.2362
0.7427 0.0000 0.7638
0.0856 0.3285 0.7616
0.4141 0.6715 0.7616
0.9144 0.6715 0.2384
0.5859 0.3285 0.2384
0.0000 0.0000 0.0000
0.3323 0.3354 0.0000
0.6677 0.6646 0.0000
```

=====

[10]
Computed, not measured: crystalline MnPb2 at its relaxed geometry at the PBE level of DFT.

DFT total energy   -31.22 eV/cell
Calculated volume   157.1 Å³ per cell
Symmetry   I4_1/amd, No. 141
Energy relative to the elements   0.326 eV per atom

Structure (POSCAR):
```
MnPb2
1.0
-1.6808 1.6808 13.9007
1.6808 -1.6808 13.9007
1.6808 1.6808 -13.9007
Mn Pb
2 4
Direct
0.5000 0.5000 0.0000
0.2500 0.7500 0.5000
0.8178 0.3178 0.5000
0.9322 0.9322 0.0000
0.6822 0.1822 0.5000
0.0678 0.0678 0.0000
```

=====

[11]
Computed, not measured: crystalline Li2ReRu at its relaxed geometry at the PBE level of DFT.

DFT total energy   -24.23 eV/cell
Calculated volume   56.5 Å³ per cell
Symmetry   Cmmm, No. 65
Energy relative to the elements   0.330 eV per atom

Structure (POSCAR):
```
Li2ReRu
1.0
5.1197 0.0072 0.0000
-2.7536 4.3161 0.0000
0.0000 0.0000 2.5524
Re Li Ru
1 2 1
Direct
0.5000 0.0000 0.5000
0.0000 0.0000 0.0000
0.5000 0.5000 0.0000
0.0000 0.5000 0.5000
```

=====

[12]
Computed, not measured: crystalline TbScO2 at its relaxed geometry at the PBE level of DFT.

Raw formation energy   -2.77 eV/atom
DFT total energy   -31.95 eV/cell
Calculated volume   52.2 Å³ per cell
Symmetry   R3m, No. 160

Structure (POSCAR):
```
TbScO2
1.0
3.2577 0.0000 0.0000
1.6288 2.8212 0.0000
1.6288 0.9404 5.6841
Tb O Sc
1 2 1
Direct
0.4955 0.4955 0.5135
0.0698 0.0698 0.7907
0.2616 0.2616 0.2151
0.6731 0.6731 0.9807
```

=====

[13]
Computed, not measured: crystalline Ba2ScTa at its relaxed geometry at the PBE level of DFT.

DFT total energy   -17.93 eV/cell
Calculated volume   126.7 Å³ per cell
Symmetry   C2/m, No. 12
Energy relative to the elements   1.024 eV per atom

Structure (POSCAR):
```
Ba2ScTa
1.0
6.4768 0.0021 -0.0026
-2.8736 5.8044 -0.0026
0.0064 0.0103 3.3691
Sc Ta Ba
1 1 2
Direct
0.5000 0.0000 0.5000
0.0000 0.5000 0.5000
0.5000 0.5000 0.0000
0.0000 0.0000 0.0000
```

=====

[14]
Computed, not measured: crystalline Zn2AgHg at its relaxed geometry at the PBE level of DFT.

DFT total energy   -9.87 eV/cell
Calculated volume   160.6 Å³ per cell
Symmetry   I-42d, No. 122
Energy relative to the elements   0.192 eV per atom

Structure (POSCAR):
```
Zn2AgHg
1.0
7.6153 0.0000 0.0000
0.0000 7.6153 0.0000
3.8077 3.8077 2.7694
Hg Ag Zn
2 2 4
Direct
0.7500 0.2500 0.5000
0.0000 0.0000 0.0000
0.5000 0.5000 0.0000
0.2500 0.7500 0.5000
0.1347 0.6250 0.2500
0.3750 0.3847 0.7500
0.8750 0.8653 0.7500
0.6153 0.1250 0.2500
```

=====

[15]
Computed, not measured: crystalline CuSi2Ru at its relaxed geometry at the PBE level of DFT.

Raw formation energy   0.25 eV/atom
DFT total energy   -23.21 eV/cell
Calculated volume   53.3 Å³ per cell
Symmetry   F-43m, No. 216

Structure (POSCAR):
```
CuSi2Ru
1.0
4.2236 0.0000 0.0000
2.1118 3.6578 0.0000
2.1118 1.2193 3.4486
Cu Ru Si
1 1 2
Direct
0.5000 0.5000 0.5000
0.7500 0.7500 0.7500
0.2500 0.2500 0.2500
0.0000 0.0000 0.0000
```

=====

[16]
Computed, not measured: crystalline Y2BiI at its relaxed geometry at the PBE level of DFT.

Raw formation energy   -0.31 eV/atom
DFT total energy   -39.17 eV/cell
Calculated volume   340.0 Å³ per cell
Symmetry   I-42d, No. 122

Structure (POSCAR):
```
Y2BiI
1.0
6.9727 0.0000 0.0000
0.0000 6.9727 0.0000
3.4864 3.4864 6.9924
Y I Bi
4 2 2
Direct
0.3750 0.3661 0.7500
0.6339 0.1250 0.2500
0.8750 0.8839 0.7500
0.1161 0.6250 0.2500
0.5000 0.5000 0.0000
0.2500 0.7500 0.5000
0.7500 0.2500 0.5000
0.0000 0.0000 0.0000
```

=====

[17]
Computed, not measured: crystalline KTlPb3 at its relaxed geometry at the PBE level of DFT.

DFT total energy   -13.25 eV/cell
Calculated volume   215.4 Å³ per cell
Symmetry   Pm-3m, No. 221
Energy relative to the elements   0.267 eV per atom

Structure (POSCAR):
```
KTlPb3
1.0
5.9942 0.0000 0.0000
0.0000 5.9942 0.0000
0.0000 0.0000 5.9942
Pb Tl K
3 1 1
Direct
0.0000 0.0000 0.5000
0.0000 0.5000 0.0000
0.5000 0.0000 0.0000
0.0000 0.0000 0.0000
0.5000 0.5000 0.5000
```

=====

[18]
Computed, not measured: crystalline Al2Re3 at its relaxed geometry at the PBE level of DFT.

DFT total energy   -42.19 eV/cell
Calculated volume   78.8 Å³ per cell
Symmetry   P-3m1, No. 164
Energy relative to the elements   0.528 eV per atom

Structure (POSCAR):
```
Al2Re3
1.0
2.0748 -3.5936 0.0000
2.0748 3.5936 0.0000
0.0000 0.0000 5.2860
Al Re
2 3
Direct
0.3333 0.6667 0.8628
0.6667 0.3333 0.1372
0.0000 0.0000 0.0000
0.6667 0.3333 0.6147
0.3333 0.6667 0.3853
```

=====

[19]
Computed, not measured: crystalline LiFe at its relaxed geometry at the PBE level of DFT.

DFT total energy   -19.81 eV/cell
Calculated volume   51.4 Å³ per cell
Symmetry   P2_1/m, No. 11
Energy relative to the elements   0.235 eV per atom

Structure (POSCAR):
```
LiFe
1.0
3.9061 0.0000 0.0000
0.0000 2.4085 0.2995
0.0000 1.7353 5.6810
Fe Li
2 2
Direct
0.0000 0.0255 0.9739
0.5000 0.7245 0.7761
0.0000 0.4981 0.5041
0.5000 0.2519 0.2459
```

=====

[20]
Computed, not measured: crystalline NdHoBr6 at its relaxed geometry at the PBE level of DFT.

Raw formation energy   -1.82 eV/atom
DFT total energy   -33.97 eV/cell
Calculated volume   287.7 Å³ per cell
Symmetry   R-3, No. 148

Structure (POSCAR):
```
NdHoBr6
1.0
-3.0242 5.6330 -3.1786
-1.9313 -0.3854 -6.8627
-7.5380 -0.4082 -1.5701
Nd Ho Br
1 1 6
Direct
0.0000 0.0000 0.0000
0.5000 0.5000 0.5000
0.4140 0.7432 0.7451
0.7430 0.0977 0.7453
0.2570 0.9023 0.2547
0.0977 0.4141 0.7451
0.9023 0.5859 0.2549
0.5860 0.2568 0.2549
```

=====

[21]
Computed, not measured: crystalline PmScHgPd at its relaxed geometry at the PBE level of DFT.

DFT total energy   -18.81 eV/cell
Calculated volume   91.5 Å³ per cell
Symmetry   F-43m, No. 216
Energy relative to the elements   -0.557 eV per atom

Structure (POSCAR):
```
PmScHgPd
1.0
5.0579 0.0000 0.0000
2.5290 4.3803 0.0000
2.5290 1.4601 4.1298
Pm Sc Pd Hg
1 1 1 1
Direct
0.5000 0.5000 0.5000
0.0000 0.0000 0.0000
0.2500 0.2500 0.2500
0.7500 0.7500 0.7500
```

=====

[22]
Computed, not measured: crystalline CdSb2PdO8 at its relaxed geometry at the PBE level of DFT.

Raw formation energy   -0.66 eV/atom
DFT total energy   -61.91 eV/cell
Calculated volume   160.7 Å³ per cell
Symmetry   P-3, No. 147

Structure (POSCAR):
```
CdSb2PdO8
1.0
-1.1568 -1.8434 5.0529
5.0689 -0.5992 -2.0533
1.5934 5.4349 2.3475
O Pd Sb Cd
8 1 2 1
Direct
0.9327 0.6413 0.8554
0.6667 0.3333 0.4043
0.0673 0.3587 0.1446
0.3587 0.2913 0.8554
0.3333 0.6667 0.5957
0.6413 0.7087 0.1446
0.7087 0.0673 0.8554
0.2913 0.9327 0.1446
0.0000 0.0000 0.0000
0.3333 0.6667 0.9071
0.6667 0.3333 0.0929
0.0000 0.0000 0.5000
```

=====

[23]
Computed, not measured: crystalline KDyOsO6 at its relaxed geometry at the PBE level of DFT.

Raw formation energy   -1.79 eV/atom
DFT total energy   -62.76 eV/cell
Calculated volume   158.4 Å³ per cell
Symmetry   P312, No. 149

Structure (POSCAR):
```
KDyOsO6
1.0
5.6223 0.0002 0.0000
2.8114 4.8690 -0.0001
0.0002 -0.0003 5.7852
O Dy Os K
6 1 1 1
Direct
0.0488 0.5929 0.6873
0.0488 0.3583 0.3127
0.3583 0.5929 0.3127
0.5929 0.0488 0.3127
0.5928 0.3583 0.6873
0.3583 0.0488 0.6873
0.6666 0.6667 0.5000
0.3333 0.3333 0.5000
0.0000 0.0000 0.0000
```

=====

[24]
Computed, not measured: crystalline Pu5Ir at its relaxed geometry at the PBE level of DFT.

DFT total energy   -80.82 eV/cell
Calculated volume   126.7 Å³ per cell
Symmetry   Cmmm, No. 65
Energy relative to the elements   -0.051 eV per atom

Structure (POSCAR):
```
Pu5Ir
1.0
-1.9229 -4.6893 0.6011
4.4774 -1.5803 1.9951
-3.7803 1.9874 3.4105
Ir Pu
1 5
Direct
0.0000 0.0000 0.0000
0.0000 0.3342 0.6684
0.0000 0.6658 0.3316
0.5000 0.8391 0.6781
0.5000 0.1609 0.3219
0.5000 0.5000 0.0000
```

=====

[25]
Computed, not measured: crystalline Zr8CoNi2 at its relaxed geometry at the PBE level of DFT.

DFT total energy   -88.76 eV/cell
Calculated volume   220.1 Å³ per cell
Symmetry   C2/m, No. 12
Energy relative to the elements   -0.155 eV per atom

Structure (POSCAR):
```
Zr8CoNi2
1.0
4.2763 0.0000 -1.5436
0.0690 4.5373 0.1911
1.5114 1.8024 10.8821
Co Zr Ni
1 8 2
Direct
0.5000 0.0000 0.0000
0.6723 0.8276 0.3445
0.5725 0.4281 0.1450
0.8255 0.6748 0.6509
0.1745 0.3252 0.3491
0.4275 0.5719 0.8550
0.3277 0.1724 0.6555
0.0725 0.9280 0.1450
0.9275 0.0720 0.8550
0.2501 0.7491 0.5001
0.7499 0.2509 0.4999
```

=====

Number 1: M_tot 0.0 Bohr magnetons per cell. Number 2: M_tot 0.0 Bohr magnetons per cell. Number 3: M_tot 0.0 Bohr magnetons per cell. Number 4: M_tot 0.0 Bohr magnetons per cell. Number 5: M_tot 0.0 Bohr magnetons per cell. Number 6: M_tot 0.0 Bohr magnetons per cell. Number 7: M_tot 0.0 Bohr magnetons per cell. Number 8: M_tot 0.0 Bohr magnetons per cell. Number 9: M_tot 0.0 Bohr magnetons per cell. Number 10: M_tot 7.6 Bohr magnetons per cell. Number 11: M_tot 0.3 Bohr magnetons per cell. Number 12: M_tot 0.0 Bohr magnetons per cell. Number 13: M_tot 0.0 Bohr magnetons per cell. Number 14: M_tot 0.0 Bohr magnetons per cell. Number 15: M_tot 0.0 Bohr magnetons per cell. Number 16: M_tot 0.0 Bohr magnetons per cell. Number 17: M_tot 0.0 Bohr magnetons per cell. Number 18: M_tot 0.3 Bohr magnetons per cell. Number 19: M_tot 4.6 Bohr magnetons per cell. Number 20: M_tot 0.0 Bohr magnetons per cell. Number 21: M_tot 0.0 Bohr magnetons per cell. Number 22: M_tot 0.1 Bohr magnetons per cell. Number 23: M_tot 0.0 Bohr magnetons per cell. Number 24: M_tot 5.3 Bohr magnetons per cell. Number 25: M_tot 0.0 Bohr magnetons per cell.